# 1
This record from OQMD via LeMat-Bulk describes SrYAuSe2S after structural relaxation. The functional is PBE-GGA.

Lattice parameters (Å, degrees): 7.152 7.152 10.455 90.00 90.00 146.38
Sites, in units of the cell vectors:
Sr: 0.244 0.756 0.750
Sr: 0.756 0.244 0.250
Y: 0.500 0.500 0.000
Y: 0.500 0.500 0.500
Au: 0.029 0.971 0.250
Au: 0.971 0.029 0.750
Se: 0.146 0.854 0.053
Se: 0.146 0.854 0.447
Se: 0.854 0.146 0.553
Se: 0.854 0.146 0.947
S: 0.417 0.583 0.250
S: 0.583 0.417 0.750

Summary:
**Space-group type**: Cmcm, No. 63
**DFT total energy**: -5.25 eV per atom



# 2
This record from OQMD via LeMat-Bulk describes ZnBMo2 after structural relaxation. The functional is PBE-GGA.

Lattice parameters (Å, degrees): 3.107 3.107 13.214 90.00 90.00 120.00
Sites, in units of the cell vectors:
Zn: 0.333 0.667 0.250
Zn: 0.667 0.333 0.750
B: 0.000 0.000 0.000
B: 0.000 0.000 0.500
Mo: 0.333 0.667 0.589
Mo: 0.333 0.667 0.911
Mo: 0.667 0.333 0.089
Mo: 0.667 0.333 0.411

Summary:
**Space-group type**: P6_3/mmc, No. 194
**Excess energy over the best structure of this formula in the dataset**: 0 meV/atom



# 3
This record from OQMD via LeMat-Bulk describes YFeCuMo after structural relaxation. The functional is PBE-GGA.

Lattice parameters (Å, degrees): 4.521 4.521 4.521 60.00 60.00 60.00
Sites, in units of the cell vectors:
Y: 0.000 0.000 0.000
Fe: 0.250 0.250 0.250
Cu: 0.750 0.750 0.750
Mo: 0.500 0.500 0.500

Summary:
**Space-group type**: F-43m, No. 216
**Formation energy from the elements**: 1.29 eV/f.u.
**Excess energy over the best structure of this formula in the dataset**: 0 meV/atom